VASP calculation (PBE) on a relaxed K3Tb2NdSe6 crystal.

The space group is C2/m (No. 12) and the conventional cell measures 7.398, 12.814 and 8.080 Å, with angles of 90.00, 107.77 and 90.00 degrees. The inequivalent atoms are K at (0.000, 0.000, 0.000), K at (0.000, 0.335, 0.000), Tb at (0.000, 0.167, 0.500), Nd at (0.000, 0.500, 0.500), Se at (0.229, 0.000, 0.707) and Se at (0.239, 0.330, 0.708).

Its formation energy without anion corrections is -169.9 kJ per mole of atoms. The total magnetic moment is 0.0 μB/cell.